[1]
The following is a PBE-GGA calculation of crystalline LiFe3Rh3 at its relaxed geometry, from the Alexandria database.

Cell lengths 5.9226, 5.9226, 5.7549 Å; angles 90.00, 90.00, 91.39 degrees
Positions (direct):
Rh1 0.0000 0.5000 0.2498
Rh2 0.0000 0.0000 0.2551
Rh3 0.5000 0.0000 0.7502
Rh4 0.0000 0.5000 0.7502
Rh5 0.0000 0.0000 0.7449
Rh6 0.5000 0.0000 0.2498
Fe1 0.2597 0.2597 0.5000
Fe2 0.7403 0.7403 0.5000
Fe3 0.2819 0.7181 0.5000
Fe4 0.7614 0.2386 0.0000
Fe5 0.7181 0.2819 0.5000
Fe6 0.2386 0.7614 0.0000
Li1 0.7082 0.7082 0.0000
Li2 0.2918 0.2918 0.0000

## Properties
**Magnetization**: 11.567 μB/f.u.
**Symmetry**: No. 65
**Density of states at the Fermi level**: 10.69 states/eV/cell
**ΔE_f**: 0.08 eV per atom


[2]
The following is a PBE-GGA calculation of crystalline MoRu2 at its relaxed geometry, from the Alexandria database.

Cell lengths 4.3244, 4.3244, 2.7327 Å; angles 90.00, 90.00, 120.00 degrees
Positions (direct):
Ru1 0.3333 0.6667 0.0000
Ru2 0.6667 0.3333 0.0000
Mo1 0.0000 0.0000 0.5000

## Properties
**Magnetization**: 0.000 μB/f.u.
**Symmetry**: No. 191
**Density of states at the Fermi level**: 3.44 states/eV/cell
**ΔE_f**: 0.15 eV per atom


[3]
The following is a PBE-GGA calculation of crystalline CoCuNi2 at its relaxed geometry, from the Alexandria database.

Cell lengths 8.3271, 8.3271, 8.3271 Å; angles 17.26, 17.26, 17.26 degrees
Positions (direct):
Cu1 0.7500 0.7500 0.7500
Ni1 0.9982 0.9982 0.9982
Ni2 0.5018 0.5018 0.5018
Co1 0.2500 0.2500 0.2500

## Properties
**Magnetization**: 2.662 μB/f.u.
**Symmetry**: No. 166
**Density of states at the Fermi level**: 3.91 states/eV/cell
**ΔE_f**: 0.00 eV per atom


Which formula does entry 2 have? MoRu2